# RbTl3Cr2F9 (PBE+U, relaxed)
data_RbTl3Cr2F9
_chemical_formula_sum 'Rb1 Tl3 Cr2 F9'
_space_group_name_H-M_alt 'P -3 m 1'
_space_group_IT_number 164
_space_group_name_Hall '-P 3 2"'
_cell_length_a 6.0869
_cell_length_b 6.0869
_cell_length_c 8.5849
_cell_angle_alpha 90.00
_cell_angle_beta 90.00
_cell_angle_gamma 120.00
loop_
_atom_site_label
_atom_site_type_symbol
_atom_site_fract_x
_atom_site_fract_y
_atom_site_fract_z
_atom_site_occupancy
Rb1 Rb 0.0000 0.0000 0.0000 1
Tl1 Tl 0.0000 0.0000 0.5000 1
Tl2 Tl 0.3333 0.6667 0.2179 1
Cr1 Cr 0.3333 0.6667 0.6396 1
F1 F 0.0000 0.5000 0.5000 1
F2 F 0.1776 0.3553 0.7675 1
# - Crystal system: trigonal
# - DFT total energy: -4.963 eV per atom
# - Magnetization: 7.00 μB/f.u.